1.
Computed, not measured: a relaxed structure of HfNbRh at the PBE level of DFT.

## Properties
Its symmetry is P4/nmm. The electronic total energy is -9.511 eV/atom. The relative energy among the computed polymorphs comes out at 62.9 meV per atom. For the density of states at the Fermi level, the calculation gives 7.527 states/eV per cell. As for the energy of formation from the pure elements: -0.386 eV/atom. The spin magnetization is 0.00 μB/cell.

Cell and atoms, written as extended XYZ:
```
6
Lattice="3.9405 0.0209 0.0000 -0.0209 3.9405 0.0000 0.0000 0.0000 7.1518" Properties=species:S:1:pos:R:3 pbc="T T T"
Rh 3.2890 1.3432 5.6397
Rh 1.3082 3.3030 1.5120
Hf 1.3082 3.3030 6.1226
Hf 3.2889 1.3432 1.0291
Nb 1.3190 1.3331 3.5759
Nb 3.2789 3.3138 3.5759
```

=====

2.
Computed, not measured: a relaxed structure of Re2SiAu at the PBE level of DFT.

## Properties
Its symmetry is R3m. The electronic total energy is -8.273 eV/atom. Its uncorrected formation energy is 0.127 eV per atom. For the density of states at the Fermi level, the calculation gives 1.982 states/eV per cell. The spin magnetization is 0.00 μB/cell.

Cell and atoms, written as extended XYZ:
```
4
Lattice="-1.7619 1.9195 8.5716 -0.0326 -0.2961 8.9539 1.0486 2.3014 8.5945" Properties=species:S:1:pos:R:3 pbc="T T T"
Si -0.3763 1.9803 13.1788
Re -0.1850 0.9735 6.4789
Re -0.7411 3.8999 25.9541
Au -0.5622 2.9584 19.6884
```

=====

3.
Computed, not measured: a relaxed structure of CrTcTe at the PBE level of DFT.

## Properties
Its symmetry is Imm2. The electronic total energy is -7.220 eV/atom. Its uncorrected formation energy is 0.491 eV per atom. The relative energy among the computed polymorphs comes out at 502.1 meV per atom. For the density of states at the Fermi level, the calculation gives 2.902 states/eV per cell. The spin magnetization is 1.63 μB/cell.

Cell and atoms, written as extended XYZ:
```
3
Lattice="4.7087 0.0972 -0.0390 1.8888 4.3143 0.0390 -2.9628 -2.7082 2.4638" Properties=species:S:1:pos:R:3 pbc="T T T"
Cr 6.5658 4.3904 0.0000
Tc 2.2181 1.4832 0.0000
Te 4.4111 2.9495 0.0000
```

=====

4.
Computed, not measured: a relaxed structure of Li2H5Rh at the PBE level of DFT.

## Properties
Its symmetry is P1. The electronic total energy is -3.807 eV/atom. The relative energy among the computed polymorphs comes out at 0.0 meV per atom. The spin magnetization is 0.00 μB/cell.

Cell and atoms, written as extended XYZ:
```
8
Lattice="-1.6003 -2.6401 0.3296 4.3425 -1.1061 -2.4246 1.8261 3.0563 4.2812" Properties=species:S:1:pos:R:3 pbc="T T T"
Rh 0.0041 -0.0714 0.0642
H -0.2254 -1.7311 0.2852
H 2.7696 2.2755 3.1928
H 1.0423 -0.5608 1.2436
H 3.4965 -0.2436 1.0886
H 3.3738 -0.4489 -1.2249
Li 2.4622 -1.5601 0.0905
Li 2.1574 0.7056 2.2325
```

=====

5.
Computed, not measured: a relaxed structure of La2Ce3YN6 at the PBE level of DFT.

## Properties
Its symmetry is C2/m. The electronic total energy is -8.474 eV/atom. Its uncorrected formation energy is -1.468 eV per atom. For the density of states at the Fermi level, the calculation gives 7.847 states/eV per cell. The spin magnetization is 0.49 μB/cell.

Cell and atoms, written as extended XYZ:
```
12
Lattice="-4.2578 -4.5884 0.0630 4.5400 0.1175 4.3082 -3.5187 4.7145 2.0659" Properties=species:S:1:pos:R:3 pbc="T T T"
N -0.7170 -2.1861 3.9093
N -0.9721 0.8560 5.4855
N -2.5195 2.4298 2.5279
N -2.2643 -0.6123 0.9517
N 0.5437 0.8897 2.3066
N -3.7802 -0.6460 4.1306
Ce -1.6182 0.1218 3.2186
Ce 1.3297 1.6987 4.6411
Ce -4.5662 -1.4550 1.7961
La -1.3269 -3.0206 1.4773
La 1.6090 -1.4502 2.8940
Y 0.0000 0.0000 0.0000
```

=====

6.
Computed, not measured: a relaxed structure of Y2Ga3Pd4 at the PBE level of DFT.

## Properties
Its symmetry is Cmce. The electronic total energy is -5.607 eV/atom. For the density of states at the Fermi level, the calculation gives 7.971 states/eV per cell. As for the energy of formation from the pure elements: -0.854 eV/atom. The spin magnetization is 0.00 μB/cell.

Cell and atoms, written as extended XYZ:
```
18
Lattice="-0.7874 -5.2608 -1.7118 2.7604 1.8543 -6.9682 7.4139 0.8307 3.1580" Properties=species:S:1:pos:R:3 pbc="T T T"
Pd 0.9340 -3.6960 -2.7523
Pd 3.6057 -2.3254 -3.6329
Pd 8.0593 -1.5104 -3.6256
Pd 5.2732 1.1607 -5.9924
Pd 5.7812 -0.2505 -1.8891
Pd 8.4530 1.1201 -2.7697
Pd 4.1138 -3.7366 0.4704
Pd 1.3276 -1.0655 -1.8964
Y 5.7083 -1.2472 1.2073
Y 6.2288 -3.2635 -1.9564
Y 3.1582 0.6876 -3.5657
Y 3.6787 -1.3287 -6.7293
Ga 3.3322 -4.3108 -1.9659
Ga 3.7258 -1.6804 -1.1100
Ga 6.0548 1.7349 -3.5562
Ga 0.0000 0.0000 0.0000
Ga 0.9865 -1.7033 -4.3400
Ga 5.6611 -0.8955 -4.4121
```

=====

7.
Computed, not measured: a relaxed structure of CaRe2Rh at the PBE level of DFT.

## Properties
Its symmetry is P4/mmm. The electronic total energy is -7.884 eV/atom. The relative energy among the computed polymorphs comes out at 451.3 meV per atom. For the density of states at the Fermi level, the calculation gives 4.425 states/eV per cell. As for the energy of formation from the pure elements: 0.678 eV/atom. The spin magnetization is 0.69 μB/cell.

Cell and atoms, written as extended XYZ:
```
4
Lattice="3.3004 0.0000 0.0000 0.0000 3.3004 0.0000 0.0000 0.0000 6.9295" Properties=species:S:1:pos:R:3 pbc="T T T"
Rh 1.6502 1.6502 1.7324
Re 0.0000 0.0000 2.9652
Re 0.0000 0.0000 0.4995
Ca 1.6502 1.6502 5.1971
```

=====

8.
Computed, not measured: a relaxed structure of SbPbAu2 at the PBE level of DFT.

## Properties
Its symmetry is I-4m2. The electronic total energy is -3.515 eV/atom. Its uncorrected formation energy is 0.082 eV per atom. For the density of states at the Fermi level, the calculation gives 1.735 states/eV per cell. The spin magnetization is 0.00 μB/cell.

Cell and atoms, written as extended XYZ:
```
4
Lattice="6.0813 0.0746 0.0000 3.0735 5.2480 0.0000 -4.5774 -2.6613 2.9921" Properties=species:S:1:pos:R:3 pbc="T T T"
Sb 3.0407 0.0373 1.4961
Au 1.5367 2.6240 1.4961
Au 0.0000 0.0000 0.0000
Pb 4.5774 2.6613 0.0000
```

=====

9.
Computed, not measured: a relaxed structure of KAg2Se2 at the PBE level of DFT.

## Properties
Its symmetry is I4/mmm. The electronic total energy is -3.193 eV/atom. Its uncorrected formation energy is -0.439 eV per atom. The relative energy among the computed polymorphs comes out at 0.0 meV per atom. For the density of states at the Fermi level, the calculation gives 3.381 states/eV per cell. The spin magnetization is 0.00 μB/cell.

Cell and atoms, written as extended XYZ:
```
5
Lattice="4.4145 0.0000 0.0000 0.0000 4.4145 0.0000 2.2073 2.2073 6.4753" Properties=species:S:1:pos:R:3 pbc="T T T"
Se 4.4145 4.4145 4.8390
Se 2.2073 2.2073 1.6364
K 0.0000 0.0000 0.0000
Ag 2.2073 4.4145 3.2377
Ag 4.4145 2.2073 3.2377
```

=====

10.
Computed, not measured: a relaxed structure of Dy5ErThSc2 at the PBE level of DFT.

## Properties
Its symmetry is Cmc2_1. The electronic total energy is -5.122 eV/atom. For the density of states at the Fermi level, the calculation gives 22.768 states/eV per cell. As for the energy of formation from the pure elements: 0.173 eV/atom. The spin magnetization is 0.00 μB/cell.

Cell and atoms, written as extended XYZ:
```
18
Lattice="-4.2071 -3.6826 0.1198 5.0983 -1.8885 -9.5426 5.5876 -6.2462 4.2214" Properties=species:S:1:pos:R:3 pbc="T T T"
Er 3.6268 -8.3212 2.1106
Er 4.7693 -5.6394 -5.8634
Dy 2.5821 -3.1845 -7.2142
Dy 1.5933 -6.0579 0.2727
Dy -0.5408 -3.6120 0.5110
Dy 6.9793 -8.1602 -5.7428
Dy 0.2640 -4.6371 -2.7360
Dy 3.6974 -8.7006 -7.0711
Dy 3.4511 -4.0611 -3.6420
Dy 3.9492 -8.7862 -0.8631
Dy 0.1305 -0.1534 -0.1329
Dy 5.8182 -6.7369 -2.7650
Th 2.7071 -7.4602 -3.7230
Th 1.2291 -1.5148 -3.3993
Sc 4.7568 -5.4200 0.4430
Sc 1.2474 -5.8669 -6.0028
Sc 4.8080 -9.8630 -3.8039
Sc 2.4793 -2.8580 -0.7866
```

=====

11.
Computed, not measured: a relaxed structure of PuTa2Os at the PBE level of DFT.

## Properties
Its symmetry is Fm-3m. The electronic total energy is -12.192 eV/atom. The relative energy among the computed polymorphs comes out at 112.8 meV per atom. For the density of states at the Fermi level, the calculation gives 9.058 states/eV per cell. As for the energy of formation from the pure elements: 0.125 eV/atom. The spin magnetization is 4.82 μB/cell.

Cell and atoms, written as extended XYZ:
```
4
Lattice="4.6563 0.0000 0.0000 2.3281 4.0325 0.0000 2.3281 1.3442 3.8019" Properties=species:S:1:pos:R:3 pbc="T T T"
Os 4.6563 2.6883 1.9009
Ta 2.3281 1.3442 0.9505
Ta 6.9844 4.0325 2.8514
Pu 0.0000 0.0000 0.0000
```

=====

12.
Computed, not measured: a relaxed structure of SrTcP2S at the PBE level of DFT.

## Properties
Its symmetry is P4/mmm. The electronic total energy is -3.442 eV/atom. Its uncorrected formation energy is 1.957 eV per atom. The relative energy among the computed polymorphs comes out at 2400.2 meV per atom. For the density of states at the Fermi level, the calculation gives 8.692 states/eV per cell. The spin magnetization is 0.28 μB/cell.

Cell and atoms, written as extended XYZ:
```
5
Lattice="-3.7584 2.7391 2.5911 -3.2556 -4.2030 -0.2792 1.8768 -1.7580 4.5808" Properties=species:S:1:pos:R:3 pbc="T T T"
Sr 0.0000 0.0000 0.0000
P -1.8792 1.3696 1.2955
P -1.6278 -2.1015 -0.1396
Tc -2.5686 -1.6109 3.4463
S 0.9384 -0.8790 2.2904
```

=====

13.
Computed, not measured: a relaxed structure of SrSbCl2 at the PBE level of DFT.

## Properties
Its symmetry is Pmmm. The electronic total energy is -3.569 eV/atom. Its uncorrected formation energy is -1.194 eV per atom. The relative energy among the computed polymorphs comes out at 137.3 meV per atom. For the density of states at the Fermi level, the calculation gives 1.666 states/eV per cell. The spin magnetization is 0.00 μB/cell.

Cell and atoms, written as extended XYZ:
```
4
Lattice="-0.2566 -3.6408 -0.5515 1.2880 0.8278 -6.0637 4.6143 -0.4641 0.9168" Properties=species:S:1:pos:R:3 pbc="T T T"
Cl 0.0000 0.0000 0.0000
Cl 0.5157 -1.4065 -3.3076
Sb 2.1789 -2.0524 0.1827
Sr 2.9512 0.1818 -2.5734
```

=====

14.
Computed, not measured: a relaxed structure of CdSi4Ir at the PBE level of DFT.

## Properties
Its symmetry is F-43m. The electronic total energy is -4.660 eV/atom. Its uncorrected formation energy is 0.585 eV per atom. For the density of states at the Fermi level, the calculation gives 2.971 states/eV per cell. The spin magnetization is 0.00 μB/cell.

Cell and atoms, written as extended XYZ:
```
6
Lattice="3.7129 -3.0455 -1.7816 3.3274 -2.1499 3.2468 -0.1784 -5.0419 0.8844" Properties=species:S:1:pos:R:3 pbc="T T T"
Ir 0.0000 0.0000 0.0000
Si 2.4792 -6.3664 1.3241
Si 4.4349 -5.3630 -0.0158
Si 4.2411 -4.9129 2.5113
Si 2.5688 -3.8324 0.8796
Cd 5.1465 -7.6780 1.7622
```

=====

15.
Computed, not measured: a relaxed structure of LaTm2AlPd4 at the PBE level of DFT.

## Properties
Its symmetry is R-3m. The electronic total energy is -5.641 eV/atom. For the density of states at the Fermi level, the calculation gives 6.111 states/eV per cell. As for the energy of formation from the pure elements: -0.843 eV/atom. The spin magnetization is 0.00 μB/cell.

Cell and atoms, written as extended XYZ:
```
8
Lattice="4.7620 0.0000 0.0000 2.3810 4.1240 0.0000 2.3810 1.3747 8.4310" Properties=species:S:1:pos:R:3 pbc="T T T"
La 0.0000 0.0000 0.0000
Pd 4.7620 2.7493 1.6137
Pd 2.3810 1.3747 5.1283
Pd 7.1430 4.1240 3.3027
Pd 4.7620 2.7493 6.8173
Tm 7.1430 4.1240 6.0724
Tm 2.3810 1.3747 2.3586
Al 4.7620 2.7493 4.2155
```

=====

16.
Computed, not measured: a relaxed structure of CaAc3Ce2N6 at the PBE level of DFT.

## Properties
Its symmetry is C2/m. The electronic total energy is -7.517 eV/atom. Its uncorrected formation energy is -1.172 eV per atom. For the density of states at the Fermi level, the calculation gives 4.940 states/eV per cell. The spin magnetization is 0.00 μB/cell.

Cell and atoms, written as extended XYZ:
```
12
Lattice="3.7519 0.0000 0.0000 0.0000 7.4794 0.2217 -1.8759 -2.2012 7.7741" Properties=species:S:1:pos:R:3 pbc="T T T"
Ca 1.8759 0.0000 0.0000
Ac 1.8759 -0.2462 5.2578
Ac 1.8759 3.7397 0.1108
Ac 0.0000 5.5243 2.7380
N 0.0000 5.2731 5.3295
N 1.8759 3.4100 7.6915
N 0.0000 1.8682 0.3042
N 1.8759 0.0051 2.6662
N 0.0000 1.8349 5.1370
N 1.8759 3.4432 2.8588
Ce 1.8759 3.5479 5.3403
Ce 0.0000 1.7303 2.6554
```

=====

17.
Computed, not measured: a relaxed structure of CsNb6Se12 at the PBE level of DFT.

## Properties
Its symmetry is R-3m. The electronic total energy is -5.938 eV/atom. Its uncorrected formation energy is -0.512 eV per atom. For the density of states at the Fermi level, the calculation gives 12.255 states/eV per cell. The spin magnetization is 4.51 μB/cell.

Cell and atoms, written as extended XYZ:
```
19
Lattice="-1.5956 -5.0953 5.9411 7.8974 1.1490 0.3402 -3.1914 6.9419 2.3302" Properties=species:S:1:pos:R:3 pbc="T T T"
Se -2.0169 -0.8518 6.4134
Se 2.2818 -0.5992 3.1995
Se 1.2742 0.2334 6.4205
Se 1.8362 2.7622 2.1912
Se -2.6174 3.6776 5.0546
Se 0.9547 6.0273 2.9471
Se 5.7278 -0.6820 3.5570
Se -0.8147 1.0185 3.7552
Se 3.9251 1.9772 4.8564
Se 5.1273 3.8475 2.1983
Se 2.1557 -3.0316 5.6645
Se 0.8285 3.5948 5.4121
Nb -0.4380 3.4572 3.1120
Nb 0.1801 -1.2048 4.5105
Nb 2.9303 4.2004 4.1011
Nb 3.5484 -0.4616 5.4996
Nb -0.7463 1.7820 6.2703
Nb 3.8567 1.2136 2.3413
Cs 0.0000 0.0000 0.0000
```

=====

18.
Computed, not measured: a relaxed structure of PuMgH2O6 at the PBE level of DFT.

## Properties
Its symmetry is P-1. The electronic total energy is -7.033 eV/atom. For the density of states at the Fermi level, the calculation gives 3.683 states/eV per cell. The spin magnetization is 0.11 μB/cell.

Cell and atoms, written as extended XYZ:
```
10
Lattice="-0.4737 -5.2051 0.5171 1.6004 -2.6336 4.4795 -4.1037 -1.9215 3.3217" Properties=species:S:1:pos:R:3 pbc="T T T"
Pu 0.1452 -2.5770 1.7504
O -0.7772 -6.9639 3.8851
O -2.7265 -3.1286 4.7587
O -2.2634 -5.6561 6.0752
O -1.0880 -3.9458 2.0633
O -3.5086 -5.3174 3.4552
O 0.0512 -4.0530 5.2254
H -1.8357 -5.0669 6.7283
H -0.3822 -4.6453 4.5792
Mg -1.3430 -7.4574 5.9099
```

=====

19.
Computed, not measured: a relaxed structure of Ba2Hg3 at the PBE level of DFT.

## Properties
Its symmetry is R-3m. The electronic total energy is -1.411 eV/atom. The relative energy among the computed polymorphs comes out at 34.6 meV per atom. For the density of states at the Fermi level, the calculation gives 4.270 states/eV per cell. As for the energy of formation from the pure elements: -0.461 eV/atom. The spin magnetization is 0.00 μB/cell.

Cell and atoms, written as extended XYZ:
```
5
Lattice="5.2384 0.0000 0.0000 2.6192 4.5366 0.0000 2.6192 1.5122 7.9402" Properties=species:S:1:pos:R:3 pbc="T T T"
Ba 5.2384 3.0244 5.9970
Ba 5.2384 3.0244 1.9433
Hg 0.0000 0.0000 0.0000
Hg 7.8575 4.5366 3.9397
Hg 2.6192 1.5122 4.0005
```

=====

20.
Computed, not measured: a relaxed structure of K2ThTe4Pb at the PBE level of DFT.

## Properties
Its symmetry is P2/m. The electronic total energy is -4.277 eV/atom. Its uncorrected formation energy is -1.041 eV per atom. The spin magnetization is 0.00 μB/cell.

Cell and atoms, written as extended XYZ:
```
8
Lattice="-0.8830 -3.8893 2.4354 4.4327 -4.3218 -5.2948 5.2550 2.7071 6.2286" Properties=species:S:1:pos:R:3 pbc="T T T"
Te 1.8106 -2.4572 1.2157
Te 4.3371 -2.5669 -2.5270
Te 5.3506 0.9522 3.4607
Te 6.9941 -3.0468 2.1534
K 2.1860 -0.5911 4.3320
K 4.8439 -0.8073 0.4669
Th 1.7749 -4.1056 -1.4297
Pb 0.0000 0.0000 0.0000
```